Version i
Computed, not measured: a relaxed AcPm3Ni2 crystal at the PBE level of DFT.

Cell: 4.0180 8.6380 10.2901 Å, 79.28 78.74 76.55°
With the nearest neighbours (Å) after each atom.
Fractional coordinates of all 12 atoms:
Ac 0.8500 0.5534 0.7466  3 Ni 2.93-3.09
Ac 0.1500 0.4466 0.2534  3 Ni 2.93-3.09
Pm 0.1540 0.9421 0.7498  3 Ni 2.90-3.04
Pm 0.8460 0.0579 0.2502  3 Ni 2.90-3.04
Pm 0.4174 0.2177 0.9476  3 Ni 2.87-3.10
Pm 0.5826 0.7823 0.0524  3 Ni 2.87-3.10
Pm 0.5877 0.2640 0.5606  3 Ni 2.84-2.92
Pm 0.4123 0.7360 0.4394  3 Ni 2.84-2.92
Ni 0.2308 0.5862 0.9523  2 Ni 2.58, 2 Pm 2.87
Ni 0.7692 0.4138 0.0477  2 Ni 2.58, 2 Pm 2.87
Ni 0.7670 0.9198 0.5462  2 Ni 2.52
Ni 0.2330 0.0802 0.4538  2 Ni 2.52

Results
Calculated volume in A^3/atom: 28.08
Space-group type: C2/m, No. 12


Version ii
Computed, not measured: a relaxed AcPm3Ni2 crystal at the PBE level of DFT.

Cell: 5.0849 9.0625 8.7366 Å, 121.99 90.00 106.29°
With the nearest neighbours (Å) after each atom.
Fractional coordinates of all 12 atoms:
Ac 0.8673 0.7347 0.9453  5 Ni 3.23-3.41, 4 Pm 3.53-3.58
Ac 0.1327 0.2653 0.0547  5 Ni 3.23-3.41, 4 Pm 3.53-3.58
Pm 0.3121 0.6242 0.6172  2 Ni 2.72-2.89
Pm 0.9386 0.8771 0.5974  3 Ni 2.91-3.19
Pm 0.6243 0.2487 0.7474  3 Ni 2.86-2.87
Pm 0.3757 0.7513 0.2526  3 Ni 2.86-2.87
Pm 0.0614 0.1229 0.4026  3 Ni 2.91-3.19
Pm 0.6879 0.3758 0.3828  2 Ni 2.72-2.89
Ni 0.4980 0.9960 0.8599  1 Ni 2.41
Ni 0.5020 0.0040 0.1401  1 Ni 2.41
Ni 0.7895 0.5789 0.2100  4 Pm 2.87-2.91
Ni 0.2105 0.4211 0.7900  4 Pm 2.87-2.91

Results
Calculated volume in A^3/atom: 26.85
Space-group type: C2/m, No. 12


Q: Which of them is the most stable? A: version i.


Version i
Computed, not measured: a relaxed AcPmNi2 crystal at the PBE level of DFT.

Cell: 4.1017 4.1017 7.3263 Å, 73.74 73.74 60.00°
With the nearest neighbours (Å) after each atom.
Fractional coordinates of all 4 atoms:
Ac 0.6708 0.6708 0.9876  6 Ni 2.99-3.11
Pm 0.4970 0.4970 0.5090  6 Ni 2.80-2.86
Ni 0.0917 0.0917 0.7249  3 Pm 2.80, 3 Ac 2.99, 1 Ni 3.10
Ni 0.2405 0.2405 0.2785  3 Pm 2.86, 1 Ni 3.10, 3 Ac 3.11

Results
Calculated volume in A^3/atom: 25.25
Space-group type: R3m, No. 160


Version ii
Computed, not measured: a relaxed AcPmNi2 crystal at the PBE level of DFT.

Cell: 5.0595 5.0595 5.0595 Å, 60.00 60.00 60.00°
With the nearest neighbours (Å) after each atom.
Fractional coordinates of all 4 atoms:
Ni 0.2500 0.2500 0.2500  4 Pm 3.10, 4 Ac 3.10
Ni 0.7500 0.7500 0.7500  4 Ac 3.10, 4 Pm 3.10
Ac 0.5000 0.5000 0.5000  8 Ni 3.10
Pm 0.0000 0.0000 0.0000  8 Ni 3.10

Results
Calculated volume in A^3/atom: 22.90
Space-group type: Fm-3m, No. 225


Q: Which of them is the most stable? A: version ii.